1.
Computed, not measured: an optimized crystal structure of Zr2RuPt at the PBE-GGA level of DFT.

Properties
VASP energy = -8.86 eV/atom
space group = Amm2, No. 38

The structure in POSCAR format:
```
Zr2RuPt
1.0
4.431 0.000 0.000
0.000 3.332 0.000
0.000 0.000 10.181
Zr Ru Pt
4 2 2
Cartesian
0.000 0.000 0.000
0.000 1.666 5.090
2.215 0.000 2.940
2.215 1.666 8.030
0.000 0.000 7.555
0.000 1.666 2.465
2.215 0.000 5.698
2.215 1.666 0.607
```

---

2.
Computed, not measured: an optimized crystal structure of LaIrNO2 at the PBE-GGA level of DFT.

Properties
E_form (uncorrected) = -1.22 eV per atom
VASP energy = -7.63 eV/atom
space group = P4/mmm, No. 123

The structure in POSCAR format:
```
LaIrNO2
1.0
4.184 0.000 0.000
0.000 4.184 0.000
0.000 0.000 3.780
La Ir N O
1 1 1 2
Cartesian
0.000 0.000 0.000
2.092 2.092 1.890
2.092 2.092 0.000
0.000 2.092 1.890
2.092 0.000 1.890
```

---

3.
Computed, not measured: an optimized crystal structure of BaPd8Pt4 at the PBE-GGA level of DFT.

Properties
VASP energy = -5.39 eV/atom
space group = I4/mmm, No. 139

The structure in POSCAR format:
```
BaPd8Pt4
1.0
-4.639 4.639 2.663
4.639 -4.639 2.663
4.639 4.639 -2.663
Ba Pd Pt
1 8 4
Cartesian
0.000 0.000 0.000
3.266 0.000 0.000
6.011 0.000 0.000
4.639 2.506 0.000
0.000 3.266 0.000
2.506 4.639 0.000
2.133 0.000 2.663
0.000 6.011 0.000
0.000 2.133 2.663
2.319 2.319 -1.331
2.319 -2.319 1.331
-2.319 2.319 1.331
2.319 2.319 1.331
```